Entry 1:
## Dy2InN (PBE)

Data for a relaxed structure of Dy2InN.

Geometry as extended XYZ:
```
4
Lattice="3.1130 0.0000 0.0000 0.0000 3.1130 0.0000 0.0000 0.0000 7.9391" Properties=species:S:1:pos:R:3 pbc="T T T"
Dy 0.0000 0.0000 1.4364
Dy 0.0000 0.0000 6.5027
In 1.5565 1.5565 3.9696
N 1.5565 1.5565 0.0000
```

Entry 2:
## Dy3InN (PBE)

Data for a relaxed structure of Dy3InN.

Geometry as extended XYZ:
```
5
Lattice="4.8203 0.0000 0.0000 0.0000 4.8203 0.0000 0.0000 0.0000 4.8203" Properties=species:S:1:pos:R:3 pbc="T T T"
Dy 0.0000 0.0000 2.4101
Dy 0.0000 2.4101 0.0000
Dy 2.4101 0.0000 0.0000
In 2.4101 2.4101 2.4101
N 0.0000 0.0000 0.0000
```

Entry 3:
## Dy2InN (PBE)

Data for a relaxed structure of Dy2InN.

Geometry as extended XYZ:
```
12
Lattice="3.5331 0.0000 0.0000 -1.7665 3.0597 0.0000 0.0000 0.0000 23.6803" Properties=species:S:1:pos:R:3 pbc="T T T"
Dy 0.0000 0.0000 5.2819
Dy 0.0000 0.0000 18.3984
Dy 0.0000 2.0398 10.5050
Dy 0.0000 2.0398 21.0687
Dy 1.7665 1.0199 2.6116
Dy 1.7665 1.0199 13.1753
In 0.0000 0.0000 0.0000
In 0.0000 2.0398 15.7869
In 1.7665 1.0199 7.8934
N 0.0000 0.0000 11.8401
N 0.0000 2.0398 3.9467
N 1.7665 1.0199 19.7335
```

Entry 4:
## Dy9In3N2 (PBE)

Data for a relaxed structure of Dy9In3N2.

Geometry as extended XYZ:
```
14
Lattice="6.8440 0.0000 0.0000 -3.4220 5.9270 0.0000 0.0000 0.0000 8.3852" Properties=species:S:1:pos:R:3 pbc="T T T"
Dy -1.7110 2.9635 0.0000
Dy 0.0000 2.0183 5.6291
Dy -1.6741 4.9179 5.6291
Dy 1.7479 1.0091 2.7561
Dy 3.4220 0.0000 0.0000
Dy 1.7110 2.9635 0.0000
Dy 1.6741 4.9179 5.6291
Dy 5.0961 1.0091 2.7561
Dy 3.4220 3.9087 2.7561
In 0.0000 0.0000 0.0000
In 0.0000 3.9514 2.7969
In 3.4220 1.9757 5.5883
N 0.0000 3.9514 6.9936
N 3.4220 1.9757 1.3916
```

Entry 5:
## NdDy2InN (PBE)

Data for a relaxed structure of NdDy2InN.

Geometry as extended XYZ:
```
5
Lattice="4.8348 0.0000 0.0000 0.0000 4.8348 0.0000 0.0000 0.0000 5.0246" Properties=species:S:1:pos:R:3 pbc="T T T"
Nd 0.0000 0.0000 0.0000
Dy 0.0000 2.4174 2.5123
Dy 2.4174 0.0000 2.5123
In 2.4174 2.4174 0.0000
N 0.0000 0.0000 2.5123
```

Entry 6:
## PmDy2InN (PBE)

Data for a relaxed structure of PmDy2InN.

Geometry as extended XYZ:
```
5
Lattice="4.8307 0.0000 0.0000 0.0000 4.8307 0.0000 0.0000 0.0000 4.9806" Properties=species:S:1:pos:R:3 pbc="T T T"
Pm 0.0000 0.0000 0.0000
Dy 0.0000 2.4153 2.4903
Dy 2.4153 0.0000 2.4903
In 2.4153 2.4153 0.0000
N 0.0000 0.0000 2.4903
```

Entry 7:
## PmDyInN3 (PBE)

Data for a relaxed structure of PmDyInN3.

Geometry as extended XYZ:
```
12
Lattice="6.5460 0.0000 0.0000 0.0000 3.3758 0.0000 -0.5601 0.0000 9.4822" Properties=species:S:1:pos:R:3 pbc="T T T"
Pm 1.1425 0.8440 2.3445
Pm 4.8434 2.5319 7.1377
Dy 1.6514 2.5319 8.4899
Dy 4.3345 0.8440 0.9923
In 0.8020 0.8440 5.6068
In 5.1839 2.5319 3.8755
N 0.1871 0.8440 7.7031
N 1.0681 2.5319 4.2751
N 2.5824 2.5319 1.2454
N 3.4035 0.8440 8.2368
N 4.9178 0.8440 5.2071
N 5.7988 2.5319 1.7791
```

Entry 8:
## PrDy2InN (PBE)

Data for a relaxed structure of PrDy2InN.

Geometry as extended XYZ:
```
5
Lattice="4.8406 0.0000 0.0000 0.0000 4.8406 0.0000 0.0000 0.0000 5.0667" Properties=species:S:1:pos:R:3 pbc="T T T"
Pr 0.0000 0.0000 0.0000
Dy 0.0000 2.4203 2.5333
Dy 2.4203 0.0000 2.5333
In 2.4203 2.4203 0.0000
N 0.0000 0.0000 2.5333
```

Computed size of the total moment, in the same sequence as the records: 0.00 0.00 0.00 0.00 0.00 0.00 0.00 0.00 μB per formula unit.
Computed ΔE_f (raw), in the same sequence as the records: -0.52 -1.00 -1.03 -0.76 -0.94 -0.96 -0.77 -0.92 eV/atom.